Record 1
The following is a PBE calculation of crystalline PuCdSe at its relaxed geometry, from Alexandria via LeMat-Bulk.

Summary:
Space group: R-3m
Uncorrected formation energy, eV per atom: -0.764
Magnetic moment, μB per formula unit: 5.5
Raw total energy, eV per atom: -7.01
Density, g/cm³: 8.74

Structure (extended XYZ):
```
6
Lattice="4.8841 0.0000 0.0000 2.4421 4.2298 0.0000 2.4421 1.4099 8.0064" Properties=species:S:1:pos:R:3 pbc="T T T"
Se 2.4421 1.4099 1.1423
Se 7.3262 4.2298 6.8641
Cd 2.4421 1.4099 4.1047
Cd 7.3262 4.2298 3.9017
Pu 4.8841 2.8198 6.2319
Pu 4.8841 2.8198 1.7745
```


Record 2
The following is a PBE calculation of crystalline PuCdSe3 at its relaxed geometry, from Alexandria via LeMat-Bulk.

Summary:
Space group: P2_1/m
Uncorrected formation energy, eV per atom: -0.817
Magnetic moment, μB per formula unit: 4.2
Raw total energy, eV per atom: -5.96
Density, g/cm³: 6.23

Structure (extended XYZ):
```
10
Lattice="-1.6739 3.7346 -0.6746 -0.0823 -1.2926 -6.9524 -9.8698 -4.2769 0.8134" Properties=species:S:1:pos:R:3 pbc="T T T"
Pu -6.0022 -1.8090 -1.4969
Pu -5.6238 -0.0259 -5.3167
Cd -1.4949 0.3603 -0.6716
Cd -10.1310 -2.1952 -6.1420
Se -7.6708 -1.2300 -6.9035
Se -7.6314 -0.5907 -3.4615
Se -3.9552 -0.6049 0.0899
Se -3.9946 -1.2442 -3.3521
Se -10.2635 -4.2622 -4.5046
Se -1.3625 2.4273 -2.3090
```


Record 3
The following is a PBE calculation of crystalline PuTl2Cd2Se4 at its relaxed geometry, from Alexandria via LeMat-Bulk.

Summary:
Space group: C2/m
Uncorrected formation energy, eV per atom: -0.664
Magnetic moment, μB per formula unit: 5.9
Raw total energy, eV per atom: -4.53
Density, g/cm³: 7.50

Structure (extended XYZ):
```
9
Lattice="-2.7006 3.1658 -1.2733 0.0808 -2.8951 -7.3692 -4.6911 -5.1000 4.7054" Properties=species:S:1:pos:R:3 pbc="T T T"
Pu 0.0000 0.0000 0.0000
Tl -1.4226 -2.4312 -3.0273
Tl -5.8883 -2.3981 -0.9098
Cd -3.3287 -2.4369 -6.4348
Cd -3.9822 -2.3924 2.4977
Se -2.4174 -1.9764 0.2133
Se -4.8935 -2.8529 -4.1504
Se -1.3860 -0.6485 -6.1087
Se -5.9249 -4.1808 2.1716
```


Record 4
The following is a PBE calculation of crystalline PuTl2CdSe4 at its relaxed geometry, from Alexandria via LeMat-Bulk.

Summary:
Space group: P2/m
Uncorrected formation energy, eV per atom: -0.753
Magnetic moment, μB per formula unit: 4.0
Raw total energy, eV per atom: -4.99
Density, g/cm³: 7.79

Structure (extended XYZ):
```
8
Lattice="-3.9145 0.6734 -1.3505 -2.9036 -3.7264 6.5578 -0.9393 4.8850 5.1584" Properties=species:S:1:pos:R:3 pbc="T T T"
Pu -1.9214 0.5794 5.8581
Tl -0.9393 4.8850 5.1584
Tl -2.4269 2.7792 1.9039
Cd -4.3483 3.3586 7.7620
Se -2.7510 1.1227 8.5335
Se -5.0063 0.7093 1.8321
Se -4.2806 -0.9528 5.4159
Se -3.4767 2.7849 4.9497
```


Record 5
The following is a PBE calculation of crystalline Pu2CdSi at its relaxed geometry, from Alexandria via LeMat-Bulk.

Summary:
Space group: R-3m
Uncorrected formation energy, eV per atom: 0.149
Magnetic moment, μB per formula unit: 11.6
Raw total energy, eV per atom: -8.60
Density, g/cm³: 10.36

Structure (extended XYZ):
```
4
Lattice="3.2732 0.0000 0.0000 1.6366 2.8347 0.0000 1.6366 0.9449 10.8594" Properties=species:S:1:pos:R:3 pbc="T T T"
Si 3.2732 1.8898 5.4297
Cd 0.0000 0.0000 0.0000
Pu 1.6366 0.9449 7.5892
Pu 4.9098 2.8347 3.2702
```


Record 6
The following is a PBE calculation of crystalline Pu2CdSi at its relaxed geometry, from Alexandria via LeMat-Bulk.

Summary:
Space group: P4/mmm
Uncorrected formation energy, eV per atom: -0.188
Magnetic moment, μB per formula unit: 11.7
Raw total energy, eV per atom: -8.94
Density, g/cm³: 11.03

Structure (extended XYZ):
```
4
Lattice="3.4222 0.0000 0.0000 0.0000 3.4222 0.0000 0.0000 0.0000 8.0785" Properties=species:S:1:pos:R:3 pbc="T T T"
Si 1.7111 1.7111 0.0000
Cd 1.7111 1.7111 4.0393
Pu 0.0000 0.0000 6.3910
Pu 0.0000 0.0000 1.6875
```


Record 7
The following is a PBE calculation of crystalline PuCdSi2 at its relaxed geometry, from Alexandria via LeMat-Bulk.

Summary:
Offset from the most stable computed form, meV per atom: 0
Space group: P4/mmm
Uncorrected formation energy, eV per atom: -0.136
Magnetic moment, μB per formula unit: 5.1
Raw total energy, eV per atom: -6.66
Density, g/cm³: 8.83

Structure (extended XYZ):
```
4
Lattice="3.9945 0.0000 0.0000 0.0000 4.4082 0.0000 0.0000 0.0000 4.4082" Properties=species:S:1:pos:R:3 pbc="T T T"
Si 0.0000 0.0000 2.2041
Si 0.0000 2.2041 0.0000
Cd 1.9973 2.2041 2.2041
Pu 1.9973 0.0000 0.0000
```


Record 8
The following is a PBE calculation of crystalline PuCdSi4 at its relaxed geometry, from Alexandria via LeMat-Bulk.

Summary:
Space group: F-43m
Uncorrected formation energy, eV per atom: -0.046
Magnetic moment, μB per formula unit: 5.4
Raw total energy, eV per atom: -6.20
Density, g/cm³: 7.51

Structure (extended XYZ):
```
6
Lattice="5.2733 0.0000 0.0000 2.6367 4.5668 0.0000 2.6367 1.5223 4.3056" Properties=species:S:1:pos:R:3 pbc="T T T"
Si 5.2733 3.0446 0.5167
Si 5.2733 1.5020 2.6982
Si 6.6092 3.8158 2.6982
Si 3.9375 3.8158 2.6982
Cd 0.0000 0.0000 0.0000
Pu 2.6367 1.5223 1.0764
```


Record 9
The following is a PBE calculation of crystalline Pu2CdSi at its relaxed geometry, from Alexandria via LeMat-Bulk.

Summary:
Space group: P4/mmm
Uncorrected formation energy, eV per atom: -0.116
Magnetic moment, μB per formula unit: 11.5
Raw total energy, eV per atom: -8.87
Density, g/cm³: 11.52

Structure (extended XYZ):
```
4
Lattice="4.4654 0.0000 0.0000 0.0000 4.5044 0.0000 0.0000 0.0000 4.5044" Properties=species:S:1:pos:R:3 pbc="T T T"
Si 2.2327 2.2522 2.2522
Cd 2.2327 0.0000 0.0000
Pu 0.0000 0.0000 2.2522
Pu 0.0000 2.2522 0.0000
```


Record 10
The following is a PBE calculation of crystalline PuCdSi at its relaxed geometry, from Alexandria via LeMat-Bulk.

Summary:
Offset from the most stable computed form, meV per atom: 129
Space group: F-43m
Uncorrected formation energy, eV per atom: -0.099
Magnetic moment, μB per formula unit: 6.0
Raw total energy, eV per atom: -6.99
Density, g/cm³: 8.78

Structure (extended XYZ):
```
3
Lattice="-1.5765 0.7496 4.3482 1.9111 -2.2916 3.6125 2.6614 2.3041 3.0922" Properties=species:S:1:pos:R:3 pbc="T T T"
Si 0.7490 0.1905 2.7632
Cd 0.0000 0.0000 0.0000
Pu 1.4980 0.3810 5.5264
```


Record 11
The following is a PBE calculation of crystalline PuCdSi at its relaxed geometry, from Alexandria via LeMat-Bulk.

Summary:
Offset from the most stable computed form, meV per atom: 0
Space group: Cmcm
Uncorrected formation energy, eV per atom: -0.228
Magnetic moment, μB per formula unit: 5.6
Raw total energy, eV per atom: -7.12
Density, g/cm³: 9.79

Structure (extended XYZ):
```
6
Lattice="4.1201 0.0000 0.0000 0.0000 3.1391 -0.7282 0.0000 0.6503 9.9338" Properties=species:S:1:pos:R:3 pbc="T T T"
Pu 1.0300 3.3589 7.3495
Pu 3.0901 0.4306 1.8562
Cd 3.0901 1.2878 5.5516
Cd 1.0300 2.5016 3.6540
Si 1.0300 1.7105 0.2437
Si 3.0901 2.0789 8.9620
```


Record 12
The following is a PBE calculation of crystalline PuCdSi at its relaxed geometry, from Alexandria via LeMat-Bulk.

Summary:
Offset from the most stable computed form, meV per atom: 233
Space group: I4mm
Uncorrected formation energy, eV per atom: 0.004
Magnetic moment, μB per formula unit: 5.8
Raw total energy, eV per atom: -6.89
Density, g/cm³: 9.79

Structure (extended XYZ):
```
3
Lattice="-1.0987 -0.9087 2.8819 -0.1735 -3.0424 -1.0254 6.5570 0.9827 1.0160" Properties=species:S:1:pos:R:3 pbc="T T T"
Si 3.3561 -0.5628 1.1020
Pu 4.5062 -2.8379 2.6168
Cd 0.9312 -2.2384 1.4429
```


Record 13
The following is a PBE calculation of crystalline PuCdSi2 at its relaxed geometry, from Alexandria via LeMat-Bulk.

Summary:
Offset from the most stable computed form, meV per atom: 155
Space group: Fm-3m
Uncorrected formation energy, eV per atom: 0.018
Magnetic moment, μB per formula unit: 5.4
Raw total energy, eV per atom: -6.50
Density, g/cm³: 8.71

Structure (extended XYZ):
```
4
Lattice="-2.4654 -3.1398 2.6778 -1.5022 -4.1411 -1.9240 2.0412 -4.1483 1.3299" Properties=species:S:1:pos:R:3 pbc="T T T"
Si -0.4828 -2.8567 0.5205
Si -1.4436 -8.5726 1.5631
Cd 0.0000 0.0000 0.0000
Pu -0.9632 -5.7146 1.0418
```


Record 14
The following is a PBE calculation of crystalline SmPuCdSi at its relaxed geometry, from Alexandria via LeMat-Bulk.

Summary:
Space group: F-43m
Uncorrected formation energy, eV per atom: -0.217
Magnetic moment, μB per formula unit: 6.4
Raw total energy, eV per atom: -6.56
Density, g/cm³: 9.00

Structure (extended XYZ):
```
4
Lattice="5.1865 0.0000 0.0000 2.5933 4.4917 0.0000 2.5933 1.4972 4.2348" Properties=species:S:1:pos:R:3 pbc="T T T"
Si 5.1865 2.9944 2.1174
Cd 0.0000 0.0000 0.0000
Sm 2.5933 1.4972 1.0587
Pu 7.7798 4.4917 3.1761
```